This record from Alexandria via LeMat-Bulk describes a relaxed structure of ZrIr2F2. The functional is PBE-GGA.

Summary:
**Formation energy without anion corrections**: -0.69 eV per atom

Unit cell a=3.576 b=3.576 c=11.669 alpha=90.00 beta=90.00 gamma=90.00
Space group I4/mmm (No. 139)
One atom of each set of equivalent atoms:
Zr1 0.000 0.000 0.000 [2 per cell]
Ir1 0.000 0.000 0.393 [4 per cell]
F1 0.000 0.500 0.250 [4 per cell]



This record from Alexandria via LeMat-Bulk describes a relaxed structure of ZrIr2F2. The functional is PBE-GGA.

Summary:
**Formation energy without anion corrections**: -0.12 eV per atom

Unit cell a=7.213 b=7.213 c=2.927 alpha=90.00 beta=90.00 gamma=90.00
Space group P4/mbm (No. 127)
One atom of each set of equivalent atoms:
Zr1 0.000 0.000 0.000 [2 per cell]
Ir1 0.114 0.386 0.000 [4 per cell]
F1 0.219 0.719 0.500 [4 per cell]



Number 1: energy above the most stable polymorph in this dataset 0 meV per atom, calculated density 11.4 g cm⁻³, total energy -6.70 eV per atom. Number 2: energy above the most stable polymorph in this dataset 568 meV per atom, calculated density 11.2 g cm⁻³, total energy -6.13 eV per atom.